# Pu2TiNbN4 PBE relaxed
# - Fermi-level density of states (states/eV/atom) = 1.40
# - E (eV/atom) = -11.301
data_Pu2TiNbN4
_chemical_formula_sum 'Pu2 Ti1 Nb1 N4'
_cell_length_a 5.638
_cell_length_b 3.257
_cell_length_c 5.671
_cell_angle_alpha 90.00
_cell_angle_beta 109.17
_cell_angle_gamma 90.00
_space_group_name_H-M_alt 'P 1 2/m 1'
_space_group_IT_number 10
_space_group_name_Hall '-P 2y'
loop_
_atom_site_label
_atom_site_type_symbol
_atom_site_fract_x
_atom_site_fract_y
_atom_site_fract_z
_atom_site_occupancy
Pu1 Pu 0.000 0.000 0.000 1
Pu2 Pu 0.500 0.500 0.000 1
Ti1 Ti 0.000 0.500 0.500 1
Nb1 Nb 0.500 0.000 0.500 1
N1 N 0.236 0.000 0.719 1
N2 N 0.252 0.500 0.277 1

# TmPu2NbN4 PBE relaxed
# - Fermi-level density of states (states/eV/atom) = 1.51
# - E (eV/atom) = -10.908
data_TmPu2NbN4
_chemical_formula_sum 'Tm1 Pu2 Nb1 N4'
_cell_length_a 5.808
_cell_length_b 3.359
_cell_length_c 5.815
_cell_angle_alpha 90.00
_cell_angle_beta 109.55
_cell_angle_gamma 90.00
_space_group_name_H-M_alt 'P 1 2/m 1'
_space_group_IT_number 10
_space_group_name_Hall '-P 2y'
loop_
_atom_site_label
_atom_site_type_symbol
_atom_site_fract_x
_atom_site_fract_y
_atom_site_fract_z
_atom_site_occupancy
Tm1 Tm 0.000 0.000 0.000 1
Pu1 Pu 0.000 0.500 0.500 1
Pu2 Pu 0.500 0.000 0.500 1
Nb1 Nb 0.500 0.500 0.000 1
N1 N 0.261 0.500 0.236 1
N2 N 0.264 0.000 0.768 1

# Tm2PuNbN4 PBE relaxed
# - Fermi-level density of states (states/eV/atom) = 0.84
# - E (eV/atom) = -9.801
data_Tm2PuNbN4
_chemical_formula_sum 'Tm2 Pu1 Nb1 N4'
_cell_length_a 5.760
_cell_length_b 3.336
_cell_length_c 5.781
_cell_angle_alpha 90.00
_cell_angle_beta 109.10
_cell_angle_gamma 90.00
_space_group_name_H-M_alt 'P 1 2/m 1'
_space_group_IT_number 10
_space_group_name_Hall '-P 2y'
loop_
_atom_site_label
_atom_site_type_symbol
_atom_site_fract_x
_atom_site_fract_y
_atom_site_fract_z
_atom_site_occupancy
Tm1 Tm 0.000 0.000 0.000 1
Tm2 Tm 0.500 0.500 0.000 1
Pu1 Pu 0.000 0.500 0.500 1
Nb1 Nb 0.500 0.000 0.500 1
N1 N 0.257 0.000 0.744 1
N2 N 0.261 0.500 0.262 1

# TmPuNbN3 PBE relaxed
# - Fermi-level density of states (states/eV/atom) = 1.57
# - E (eV/atom) = -9.999
data_TmPuNbN3
_chemical_formula_sum 'Tm2 Pu2 Nb2 N6'
_cell_length_a 6.974
_cell_length_b 3.290
_cell_length_c 8.093
_cell_angle_alpha 90.00
_cell_angle_beta 91.47
_cell_angle_gamma 90.00
_space_group_name_H-M_alt 'P 1 21/m 1'
_space_group_IT_number 11
_space_group_name_Hall '-P 2yb'
loop_
_atom_site_label
_atom_site_type_symbol
_atom_site_fract_x
_atom_site_fract_y
_atom_site_fract_z
_atom_site_occupancy
Tm1 Tm 0.110 0.250 0.349 1
Pu1 Pu 0.369 0.750 0.661 1
Nb1 Nb 0.353 0.750 0.070 1
N1 N 0.133 0.250 0.621 1
N2 N 0.345 0.250 0.913 1
N3 N 0.355 0.750 0.344 1